## DyHoSbCl2 (PBE-GGA)

Data for a geometry-optimized DyHoSbCl2 structure.

a b c (Å): 4.149 4.149 10.489
angles (deg): 90.00 90.00 120.00
Fractional positions:
Cl 0.000 0.000 0.313
Cl 0.333 0.667 0.687
Dy 0.000 0.000 0.832
Ho 0.333 0.667 0.168
Sb 0.667 0.333 0.001

Values from the calculation:
* mass density: 5.5 g/cm3
* total DFT energy (no corrections): -25.06 eV for the cell shown
* total moment: 0.03 μB/f.u.

=====

## SrLi2Ni2 (PBE-GGA)

Data for a geometry-optimized SrLi2Ni2 structure.

a b c (Å): 5.983 5.983 5.983
angles (deg): 139.85 139.85 58.09
Fractional positions:
Li 0.750 0.250 0.500
Li 0.250 0.750 0.500
Ni 0.391 0.391 0.000
Ni 0.609 0.609 0.000
Sr 0.000 0.000 0.000

Values from the calculation:
* mass density: 4.1 g/cm3
* total DFT energy (no corrections): -16.22 eV for the cell shown
* total moment: 0.00 μB/f.u.

=====

## DyGePO (PBE-GGA)

Data for a geometry-optimized DyGePO structure.

a b c (Å): 4.085 5.493 6.376
angles (deg): 90.00 90.00 90.00
Fractional positions:
Dy 0.500 0.733 0.078
Dy 0.500 0.267 0.578
Ge 0.000 0.839 0.487
Ge 0.000 0.161 0.987
O 0.500 0.919 0.390
O 0.500 0.081 0.890
P 0.000 0.442 0.299
P 0.000 0.558 0.799

Values from the calculation:
* E above lowest polymorph: 111.3 meV/atom
* mass density: 6.5 g/cm3
* total DFT energy (no corrections): -49.86 eV for the cell shown
* total moment: 0.00 μB/f.u.

=====

## PrNdSc2Si2 (PBE-GGA)

Data for a geometry-optimized PrNdSc2Si2 structure.

a b c (Å): 8.529 8.529 8.529
angles (deg): 150.79 150.79 41.79
Fractional positions:
Nd 0.676 0.676 0.000
Pr 0.324 0.324 0.000
Sc 0.500 0.000 0.500
Sc 0.000 0.500 0.500
Si 0.121 0.121 0.000
Si 0.879 0.879 0.000

Values from the calculation:
* mass density: 4.9 g/cm3
* total DFT energy (no corrections): -36.76 eV for the cell shown
* total moment: 1.69 μB/f.u.

=====

## DyHo2Al3AgPt2 (PBE-GGA)

Data for a geometry-optimized DyHo2Al3AgPt2 structure.

a b c (Å): 3.901 7.341 7.341
angles (deg): 120.05 90.00 90.00
Fractional positions:
Ag 0.000 0.001 0.001
Al 0.500 0.741 0.000
Al 0.500 0.258 0.258
Al 0.500 0.000 0.741
Dy 0.000 0.585 0.585
Ho 0.000 0.000 0.415
Ho 0.000 0.415 0.000
Pt 0.500 0.667 0.332
Pt 0.500 0.332 0.667

Values from the calculation:
* mass density: 9.8 g/cm3
* total DFT energy (no corrections): -47.85 eV for the cell shown
* total moment: 0.00 μB/f.u.

=====

## KLuZnTe3 (PBE-GGA)

Data for a geometry-optimized KLuZnTe3 structure.

a b c (Å): 10.153 10.153 9.278
angles (deg): 101.21 101.21 24.99
Fractional positions:
K 0.861 0.861 0.436
K 0.139 0.139 0.564
Lu 0.172 0.172 0.068
Lu 0.828 0.828 0.932
Te 0.000 0.000 0.000
Te 0.326 0.326 0.149
Te 0.668 0.668 0.290
Te 0.500 0.500 0.500
Te 0.332 0.332 0.710
Te 0.674 0.674 0.851
Zn 0.532 0.532 0.226
Zn 0.468 0.468 0.774

Values from the calculation:
* mass density: 5.6 g/cm3
* total DFT energy (no corrections): -43.32 eV for the cell shown
* total moment: 0.00 μB/f.u.